## AlRu2Cl (PBEsol)

Data for crystalline AlRu2Cl at its relaxed geometry.

```
AlRu2Cl
1.0
2.8849 0.0000 0.0000
1.4425 2.4984 0.0000
1.4425 0.8328 7.9769
Ru Al Cl
2 1 1
direct
0.9948 0.9948 0.0155 Ru
0.2468 0.2468 0.2597 Ru
0.5006 0.5006 0.4981 Al
0.7578 0.7578 0.7267 Cl
```

Properties
M_tot: 0.0 μB per formula unit
DOS(E_F): 0.89 states/eV per atom
Excess energy over the best structure of this formula in the dataset: 0 meV per atom
Raw formation energy: 0.036 eV/atom